1.
La2Pr3Al | PBE-GGA | optimized geometry

Unit cell a=5.0044 b=15.7419 c=4.9409 alpha=90.00 beta=90.00 gamma=90.00
Atoms (fractional coordinates):
La1 0.0000 0.1617 0.0000
La2 0.0000 0.8383 0.0000
La3 0.5000 0.3383 0.0000
La4 0.5000 0.6617 0.0000
Pr1 0.0000 0.0000 0.5000
Pr2 0.0000 0.3451 0.5000
Pr3 0.0000 0.6549 0.5000
Pr4 0.5000 0.1549 0.5000
Pr5 0.5000 0.5000 0.5000
Pr6 0.5000 0.8451 0.5000
Al1 0.0000 0.5000 0.0000
Al2 0.5000 0.0000 0.0000

SG: Cmmm (65)
Formation energy from the elements (meV per atom): -75



2.
La6PrAl | PBE-GGA | optimized geometry

Unit cell a=5.0838 b=5.0838 c=10.4110 alpha=90.00 beta=90.00 gamma=90.00
Atoms (fractional coordinates):
La1 0.0000 0.0000 0.0000
La2 0.0000 0.0000 0.5000
La3 0.0000 0.5000 0.2367
La4 0.0000 0.5000 0.7633
La5 0.5000 0.0000 0.2367
La6 0.5000 0.0000 0.7633
Pr1 0.5000 0.5000 0.5000
Al1 0.5000 0.5000 0.0000

SG: P4/mmm (123)
Formation energy from the elements (meV per atom): -68



3.
La4PrAl | PBE-GGA | optimized geometry

Unit cell a=6.6575 b=6.6575 c=11.2465 alpha=90.00 beta=90.00 gamma=63.41
Atoms (fractional coordinates):
La1 0.0985 0.4216 0.2500
La2 0.2366 0.7634 0.5110
La3 0.2366 0.7634 0.9890
La4 0.4216 0.0985 0.7500
La5 0.5784 0.9015 0.2500
La6 0.7634 0.2366 0.0110
La7 0.7634 0.2366 0.4890
La8 0.9015 0.5784 0.7500
Pr1 0.4631 0.5369 0.7500
Pr2 0.5369 0.4631 0.2500
Al1 0.0413 0.9587 0.2500
Al2 0.9587 0.0413 0.7500

SG: Cmcm (63)
Formation energy from the elements (meV per atom): 195